BaErNO after structural relaxation. Source: OQMD via LeMat-Bulk, functional PBE.

Geometry as POSCAR:
```
BaErNO
1.0
6.615 0.000 0.000
0.000 8.589 0.000
0.000 0.000 6.029
Ba Er N O
4 4 4 4
Cartesian
0.431 1.143 0.000 Ba
2.877 1.143 3.014 Ba
3.738 7.446 0.000 Ba
6.184 7.446 3.014 Ba
0.553 5.217 5.917 Er
2.755 5.217 2.903 Er
3.860 3.372 5.917 Er
6.062 3.372 2.903 Er
0.205 1.462 3.297 N
3.103 1.462 0.283 N
3.512 7.127 3.297 N
6.410 7.127 0.283 N
0.741 4.947 3.743 O
2.566 4.947 0.729 O
4.049 3.643 3.743 O
5.873 3.643 0.729 O
```

Summary:
- Excess energy over the best structure of this formula in the dataset: 137 meV/atom
- Electronic total energy: -109.08 eV/cell
- Space group: Pca2_1 (29)
- ρ: 6.488 g cm⁻³



HgTeO3 after structural relaxation. Source: OQMD via LeMat-Bulk, functional PBE.

Geometry as POSCAR:
```
HgTeO3
1.0
2.894 1.671 4.882
-2.894 1.671 4.882
0.000 -3.341 4.882
Hg Te O
2 2 6
Cartesian
0.000 0.000 3.661 Hg
0.000 0.000 10.984 Hg
0.000 0.000 0.000 Te
0.000 0.000 7.323 Te
-1.779 0.261 6.102 O
-1.115 -1.410 8.543 O
0.664 -1.671 6.102 O
-0.664 1.671 8.543 O
1.115 1.410 6.102 O
1.779 -0.261 8.543 O
```

Summary:
- Electronic total energy: -42.52 eV/cell
- Space group: R-3c (167)
- ρ: 8.824 g cm⁻³